Below is crystalline CeInHgSb at its relaxed geometry, with properties calculated at the PBE-GGA level.

M_tot: 3.43 μB per cell
ρ: 8.81 g/cm³
distance to the lowest polymorph of the same formula: 0.161 eV per atom
N(E_F): 27.09 states/eV/cell
raw formation energy: -352 meV/atom
DFT total energy: -3.626 eV/atom

a b c (Å): 7.5790 7.5790 7.5790
angles (deg): 90.00 90.00 90.00
With the nearest neighbours (Å) after each atom.
Space group F-43m (No. 216)
Symmetry-distinct sites (fractional):
Ce 0.0000 0.0000 0.0000 [4 per cell]  4 Sb 3.28, 4 Hg 3.28
In 0.0000 0.0000 0.5000 [4 per cell]  4 Hg 3.28, 4 Sb 3.28
Hg 0.2500 0.2500 0.7500 [4 per cell]  4 In 3.28, 4 Ce 3.28
Sb 0.2500 0.2500 0.2500 [4 per cell]  4 In 3.28, 4 Ce 3.28